Record 1
Crystalline UAsPdPt at its relaxed geometry. Source: Alexandria via LeMat-Bulk, functional PBE.

VASP energy, eV/atom: -7.2241
Formation energy, eV per atom: -0.431
Space-group type: F-43m

a b c (Å): 4.730 4.730 4.730
angles (deg): 60.00 60.00 60.00
Sites, in units of the cell vectors:
Pd (0.500, 0.500, 0.500)
U (0.000, 0.000, 0.000)
Pt (0.750, 0.750, 0.750)
As (0.250, 0.250, 0.250)



Record 2
Crystalline La2PmGa6 at its relaxed geometry. Source: Alexandria via LeMat-Bulk, functional PBE.

VASP energy, eV/atom: -4.0860
Formation energy, eV per atom: -0.445
Space-group type: Immm

a b c (Å): 4.478 8.143 8.143
angles (deg): 53.22 74.04 74.04
Sites, in units of the cell vectors:
La (0.637, 0.863, 0.863)
La (0.363, 0.137, 0.137)
Pm (0.500, 0.500, 0.500)
Ga (0.831, 0.488, 0.851)
Ga (0.000, 0.815, 0.185)
Ga (0.000, 0.185, 0.815)
Ga (0.169, 0.149, 0.512)
Ga (0.831, 0.851, 0.488)
Ga (0.169, 0.512, 0.149)



Record 3
Crystalline NaMg6In2 at its relaxed geometry. Source: Alexandria via LeMat-Bulk, functional PBE.

VASP energy, eV/atom: -1.8607
Formation energy, eV per atom: -0.042
Space-group type: P4_2/mnm

a b c (Å): 4.535 9.688 9.689
angles (deg): 90.00 90.00 90.00
Sites, in units of the cell vectors:
In (0.000, 0.670, 0.170)
In (0.500, 0.830, 0.670)
In (0.000, 0.330, 0.830)
In (0.500, 0.170, 0.330)
Mg (0.000, 0.328, 0.172)
Mg (0.500, 0.497, 0.338)
Mg (0.000, 0.997, 0.162)
Mg (0.500, 0.162, 0.003)
Mg (0.500, 0.838, 0.997)
Mg (0.500, 0.503, 0.662)
Mg (0.000, 0.003, 0.838)
Mg (0.000, 0.662, 0.497)
Mg (0.500, 0.172, 0.672)
Mg (0.000, 0.672, 0.828)
Mg (0.000, 0.338, 0.503)
Mg (0.500, 0.828, 0.328)
Na (0.000, 0.000, 0.500)
Na (0.500, 0.500, 0.000)



Number 1: ρ 13.631 Mg/m³. Number 2: ρ 6.172 Mg/m³. Number 3: ρ 3.108 Mg/m³.